# 1
! Rb3Ca2AgBr9 (PBE, optimized geometry); values from VASP
! Total energy = -3.17 eV per atom
! Space-group type = P-3m1
&SYSTEM
  ibrav = 0, nat = 15, ntyp = 4
/
ATOMIC_SPECIES
Rb 85.47 Rb.upf
Ca 40.08 Ca.upf
Ag 107.87 Ag.upf
Br 79.90 Br.upf
ATOMIC_POSITIONS crystal
Rb 0.3333 0.6667 0.6483
Rb 0.0000 0.0000 0.0000
Rb 0.6667 0.3333 0.3517
Ca 0.3333 0.6667 0.1678
Ca 0.6667 0.3333 0.8322
Ag 0.0000 0.0000 0.5000
Br 0.8343 0.1657 0.6576
Br 0.8343 0.6686 0.6576
Br 0.3314 0.1657 0.6576
Br 0.6686 0.8343 0.3424
Br 0.1657 0.3314 0.3424
Br 0.1657 0.8343 0.3424
Br 0.5000 0.0000 0.0000
Br 0.0000 0.5000 0.0000
Br 0.5000 0.5000 0.0000
CELL_PARAMETERS angstrom
7.9454 0.0000 0.0000
-3.9727 6.8809 0.0000
0.0000 0.0000 9.9499

---

# 2
! CuBiIr3 (PBE, optimized geometry); values from VASP
! Total energy = -5.64 eV per atom
! Formation energy from the elements = 1.2683 eV per atom
! Offset from the most stable computed form = 0.0000 eV/atom
! Space-group type = Pm-3m
&SYSTEM
  ibrav = 0, nat = 5, ntyp = 3
/
ATOMIC_SPECIES
Ir 192.22 Ir.upf
Bi 208.98 Bi.upf
Cu 63.55 Cu.upf
ATOMIC_POSITIONS crystal
Ir 0.0000 0.5000 0.0000
Ir 0.0000 0.0000 0.5000
Ir 0.5000 0.0000 0.0000
Bi 0.5000 0.5000 0.5000
Cu 0.0000 0.0000 0.0000
CELL_PARAMETERS angstrom
4.5657 0.0000 0.0000
0.0000 4.5657 0.0000
0.0000 0.0000 4.5657

---

# 3
! Na3TiGe (PBE, optimized geometry); values from VASP
! Total energy = -2.05 eV per atom
! Formation energy from the elements = 1.2466 eV per atom
! Offset from the most stable computed form = 0.2974 eV/atom
! Space-group type = Pm-3m
&SYSTEM
  ibrav = 0, nat = 5, ntyp = 3
/
ATOMIC_SPECIES
Na 22.99 Na.upf
Ge 72.64 Ge.upf
Ti 47.87 Ti.upf
ATOMIC_POSITIONS crystal
Na 0.0000 0.5000 0.0000
Na 0.0000 0.0000 0.5000
Na 0.5000 0.0000 0.0000
Ge 0.5000 0.5000 0.5000
Ti 0.0000 0.0000 0.0000
CELL_PARAMETERS angstrom
5.6810 0.0000 0.0000
0.0000 5.6810 0.0000
0.0000 0.0000 5.6810

---

# 4
! In2Te3 (PBE, optimized geometry); values from VASP
! Total energy = -3.29 eV per atom
! Space-group type = Imm2
&SYSTEM
  ibrav = 0, nat = 5, ntyp = 2
/
ATOMIC_SPECIES
In 114.82 In.upf
Te 127.60 Te.upf
ATOMIC_POSITIONS crystal
In 0.5064 0.7458 0.9871
In 0.8268 0.0660 0.3464
Te 0.0166 0.0458 0.9669
Te 0.6666 0.6296 0.6669
Te 0.3167 0.3458 0.3667
CELL_PARAMETERS angstrom
-3.0751 2.8681 -1.4635
1.9935 -0.9062 -5.9645
-4.8966 -4.0432 -4.4080

---

Question: Among the records above, which one has the highest total energy?
Answer: Na3TiGe

---

Question: Which value of total energy does entry 2 give?
Answer: -5.64 eV per atom

---

Question: Which value of total energy does entry 1 give?
Answer: -3.17 eV per atom

---

Question: Which of these has the highest total energy?
Answer: Na3TiGe